No. 1
VASP calculation (PBE) on a relaxed structure of LaSiSe2.

Cell: 7.972 7.972 7.972 Å, 31.30 31.30 31.30°
Sites, in units of the cell vectors:
La  0.756  0.756  0.756
Se  0.209  0.209  0.209
Se  0.023  0.023  0.023
Si  0.513  0.513  0.513

Results
Its energy relative to the elements, uncorrected is -2.970 eV per formula unit. The density comes out at 4.4 g cm⁻³.

=====

No. 2
VASP calculation (PBE) on a relaxed structure of La6SiSe5.

Cell: 7.520 7.504 7.504 Å, 60.00 80.46 70.63°
Sites, in units of the cell vectors:
La  0.755  0.407  0.675
La  0.245  0.919  0.675
La  0.244  0.244  0.000
La  0.756  0.756  0.000
La  0.245  0.593  0.325
La  0.755  0.081  0.325
Se  0.500  0.500  0.000
Se  0.000  0.667  0.667
Se  0.000  0.333  0.333
Se  0.500  0.168  0.664
Se  0.500  0.832  0.336
Si  0.000  0.000  0.000

Results
Its energy relative to the elements, uncorrected is -21.897 eV per formula unit. The density comes out at 6.0 g cm⁻³.

=====

No. 3
VASP calculation (PBE) on a relaxed structure of LaSi3Se.

Cell: 5.576 5.576 5.576 Å, 90.00 90.00 90.00°
Sites, in units of the cell vectors:
La  0.000  0.000  0.000
Se  0.500  0.500  0.500
Si  0.000  0.000  0.500
Si  0.000  0.500  0.000
Si  0.500  0.000  0.000

Results
Its energy relative to the elements, uncorrected is 7.581 eV per formula unit. The density comes out at 2.9 g cm⁻³.

=====

No. 4
VASP calculation (PBE) on a relaxed structure of La2SiSe.

Cell: 8.111 8.111 8.111 Å, 152.92 150.92 40.15°
Sites, in units of the cell vectors:
Se  0.543  0.543  0.000
La  0.951  0.951  0.000
La  0.707  0.207  0.500
Si  0.300  0.800  0.500

Results
Its energy relative to the elements, uncorrected is -4.408 eV per formula unit. The density comes out at 5.4 g cm⁻³.

=====

No. 5
VASP calculation (PBE) on a relaxed structure of LaSi2Se.

Cell: 4.165 4.165 4.951 Å, 90.00 90.00 90.00°
Sites, in units of the cell vectors:
Si  0.000  0.000  0.000
Si  0.500  0.500  0.000
La  0.500  0.000  0.500
Se  0.000  0.500  0.500

Results
Its energy relative to the elements, uncorrected is -1.596 eV per formula unit. The density comes out at 5.3 g cm⁻³.

=====

No. 6
VASP calculation (PBE) on a relaxed structure of LaSiSe2.

Cell: 4.453 4.264 5.930 Å, 67.68 90.00 90.00°
Sites, in units of the cell vectors:
La  0.500  0.639  0.779
Si  0.000  0.478  0.462
Se  0.000  0.057  0.904
Se  0.500  0.326  0.356

Results
Its energy relative to the elements, uncorrected is -4.009 eV per formula unit. The density comes out at 5.2 g cm⁻³.

=====

> The lowest energy relative to the elements, uncorrected belongs to which entry?

La6SiSe5

=====

Repeat the fifth record exactly.
VASP calculation (PBE) on a relaxed structure of LaSi2Se.

Cell: 4.165 4.165 4.951 Å, 90.00 90.00 90.00°
Sites, in units of the cell vectors:
Si  0.000  0.000  0.000
Si  0.500  0.500  0.000
La  0.500  0.000  0.500
Se  0.000  0.500  0.500

Results
Its energy relative to the elements, uncorrected is -1.596 eV per formula unit. The density comes out at 5.3 g cm⁻³.

=====

> density of number 5 (LaSi2Se)?

5.3 g cm⁻³